20
Lattice="-4.409 4.409 4.409 4.409 -4.409 4.409 4.409 4.409 -4.409" Properties=species:S:1:pos:R:3 comment="PBE-GGA Rb4NaU3O12, optimized geometry" dos_ef_per_ev_cell=16.1 e_form_raw_ev_per_atom=-2.623 spacegroup="No. 229" pbc="T T T"
Rb 2.204 2.204 -2.204
Rb 2.204 -2.204 2.204
Rb -2.204 2.204 2.204
Rb 2.204 2.204 2.204
Na 0.000 0.000 0.000
U 4.409 0.000 0.000
U 0.000 4.409 0.000
U 0.000 0.000 4.409
O 2.495 0.000 0.000
O 6.323 0.000 0.000
O 4.409 2.204 0.000
O 4.409 0.000 2.204
O 0.000 2.495 0.000
O 0.000 0.000 2.495
O 2.204 4.409 0.000
O 2.204 0.000 4.409
O 0.000 6.323 0.000
O 0.000 0.000 6.323
O 0.000 4.409 2.204
O 0.000 2.204 4.409